[1]
Compound: NaCaAcIn
Source: Alexandria via LeMat-Bulk
Functional: PBE
Structure: optimized geometry

Cell lengths 5.7535, 5.7535, 5.7535 Å; angles 60.00, 60.00, 60.00 degrees
Element x y z (fractional)
In: 0.5000 0.5000 0.5000
Ac: 0.7500 0.7500 0.7500
Ca: 0.2500 0.2500 0.2500
Na: 0.0000 0.0000 0.0000

Results
* crystal system: cubic
* space group: F-43m (216)


[2]
Compound: CaAcNdIn
Source: Alexandria via LeMat-Bulk
Functional: PBE
Structure: optimized geometry

Cell lengths 5.7825, 5.7825, 5.7825 Å; angles 60.00, 60.00, 60.00 degrees
Element x y z (fractional)
Nd: 0.7500 0.7500 0.7500
In: 0.0000 0.0000 0.0000
Ac: 0.5000 0.5000 0.5000
Ca: 0.2500 0.2500 0.2500

Results
* crystal system: cubic
* space group: F-43m (216)


no.,DOS at the Fermi energy (states/eV/atom),formation energy from the elements (meV/atom)
1,0.818,-204
2,1.680,-30